First-principles (PBE-GGA) data for crystalline Pm2Ho2Cd at its relaxed geometry, as listed in Alexandria.

The calculated volume comes out at 30.38 A^3/atom. As for the crystal system: tetragonal.

The space group is I4/mmm (No. 139) and the conventional cell measures 3.6050, 3.6050 and 23.3742 Å, with angles of 90.00, 90.00 and 90.00 degrees. The asymmetric unit holds Pm at (0.0000, 0.0000, 0.1940), Ho at (0.0000, 0.0000, 0.4136) and Cd at (0.0000, 0.0000, 0.0000).


First-principles (PBE-GGA) data for crystalline Pm3HoCd3 at its relaxed geometry, as listed in Alexandria.

The calculated volume comes out at 29.83 A^3/atom. As for the crystal system: orthorhombic.

The space group is Cmmm (No. 65) and the conventional cell measures 10.6659, 10.9367 and 7.1604 Å, with angles of 90.00, 90.00 and 90.00 degrees. The asymmetric unit holds Pm at (0.0000, 0.2462, 0.0000), Pm at (0.2334, 0.0000, 0.5000), Pm at (0.2346, 0.0000, 0.0000), Ho at (0.0000, 0.2493, 0.5000), Cd at (0.0000, 0.5000, 0.2542) and Cd at (0.2500, 0.2500, 0.2556).


First-principles (PBE-GGA) data for crystalline Pm2Ho3Cd at its relaxed geometry, as listed in Alexandria.

The calculated volume comes out at 32.07 A^3/atom. As for the crystal system: orthorhombic.

The space group is Imm2 (No. 44) and the conventional cell measures 3.4142, 17.2447 and 6.5357 Å, with angles of 90.00, 90.00 and 90.00 degrees. The asymmetric unit holds Pm at (0.0000, 0.1917, 0.0000), Ho at (0.0000, 0.1316, 0.5057), Ho at (0.0000, 0.5000, 0.3126) and Cd at (0.0000, 0.0000, 0.2064).


First-principles (PBE-GGA) data for crystalline Pm5Ho4Cd at its relaxed geometry, as listed in Alexandria.

The calculated volume comes out at 31.81 A^3/atom. As for the crystal system: tetragonal.

The space group is P4/mmm (No. 123) and the conventional cell measures 3.6142, 3.6142 and 24.3536 Å, with angles of 90.00, 90.00 and 90.00 degrees. The asymmetric unit holds Pm at (0.0000, 0.0000, 0.0000), Pm at (0.0000, 0.0000, 0.2061), Pm at (0.0000, 0.0000, 0.4124), Ho at (0.5000, 0.5000, 0.1031), Ho at (0.5000, 0.5000, 0.3092) and Cd at (0.5000, 0.5000, 0.5000).


First-principles (PBE-GGA) data for crystalline Pm7HoCd4 at its relaxed geometry, as listed in Alexandria.

The calculated volume comes out at 30.65 A^3/atom. As for the crystal system: monoclinic.

The space group is C2/m (No. 12) and the conventional cell measures 14.9941, 5.8237 and 9.9358 Å, with angles of 90.00, 122.03 and 90.00 degrees. The asymmetric unit holds Pm at (0.0000, 0.0000, 0.0000), Pm at (0.0699, 0.5000, 0.4090), Pm at (0.2045, 0.5000, 0.8826), Pm at (0.2375, 0.0000, 0.6943), Ho at (0.0000, 0.5000, 0.0000), Cd at (0.0410, 0.0000, 0.7128) and Cd at (0.1812, 0.0000, 0.3430).


First-principles (PBE-GGA) data for crystalline PmHo4Cd5 at its relaxed geometry, as listed in Alexandria.

The calculated volume comes out at 26.35 A^3/atom. As for the crystal system: tetragonal.

The space group is P4/mmm (No. 123) and the conventional cell measures 3.7381, 3.7381 and 18.8540 Å, with angles of 90.00, 90.00 and 90.00 degrees. The asymmetric unit holds Pm at (0.0000, 0.0000, 0.0000), Ho at (0.0000, 0.0000, 0.2041), Ho at (0.0000, 0.0000, 0.4016), Cd at (0.5000, 0.5000, 0.1074), Cd at (0.5000, 0.5000, 0.3027) and Cd at (0.5000, 0.5000, 0.5000).


Summary of calculated formation energy in kJ/mol of atoms
-10.9; -14.4; 14.2; -4.3; -2.0; -30.5
(order as listed above)
Summary of M_tot in Bohr magnetons per cell
0.0; 4.5; 0.0; 0.0; 0.0; 0.6
(order as listed above)
Summary of calculated total energy in eV for the cell shown
-40.270; -90.486; -46.530; -43.428; -83.480; -30.795
(order as listed above)